VASP calculation (GGA-PBE) on FeTcSe2 after structural relaxation.

polymorph energy (0 for the lowest one) = 793.2 meV per atom
energy relative to the elements, uncorrected = 2.237 eV per formula unit

Geometry as CIF:
```
data_FeTcSe2
_chemical_formula_sum 'Fe1 Tc1 Se2'
_cell_length_a 3.1171
_cell_length_b 3.8717
_cell_length_c 5.7377
_cell_angle_alpha 90.00
_cell_angle_beta 90.00
_cell_angle_gamma 90.00
_space_group_name_H-M_alt 'P m m m'
_space_group_IT_number 47
loop_
_space_group_symop_operation_xyz
'x,y,z'
'-x,-y,-z'
'-x,-y,z'
'x,y,-z'
'x,-y,-z'
'-x,y,z'
'-x,y,-z'
'x,-y,z'
loop_
_atom_site_label
_atom_site_type_symbol
_atom_site_fract_x
_atom_site_fract_y
_atom_site_fract_z
_atom_site_occupancy
Fe1 Fe 0.0000 0.0000 0.0000 1
Tc1 Tc 0.5000 0.0000 0.5000 1
Se1 Se 0.0000 0.5000 0.5000 1
Se2 Se 0.5000 0.5000 0.0000 1
```